Density functional theory data (PBE) for an optimized crystal structure of PuAl2Pd5.

## Properties
Formation energy (meV/atom): -750.3
DFT total energy (eV per atom): -6.723
Space group: I4/mmm, No. 139
Mass density (g/cm3): 10.5
DOS(E_F) (states/eV/atom): 2.03

Lattice parameters (Å, degrees): 8.0937 8.0937 8.0937 150.14 150.14 42.73
Site moments in Bohr magnetons follow the coordinates.
Positions (direct):
Pd 0.5000 0.5000 0.0000  -0.04
Al 0.2530 0.2530 0.0000  0.00
Pd 0.1463 0.6463 0.5000  0.00
Al 0.7470 0.7470 0.0000  0.00
Pd 0.8537 0.3537 0.5000  0.00
Pu 0.0000 0.0000 0.0000  4.99
Pd 0.3537 0.8537 0.5000  0.00
Pd 0.6463 0.1463 0.5000  0.00